Computed, not measured: an optimized crystal structure of Ca3PmS4 at the PBE level of DFT.

Cell lengths 4.0236, 6.9902, 6.9902 Å; angles 109.41, 90.00, 90.00 degrees
Element x y z (fractional)
Ca  0.0000  0.0000  0.5000
Ca  0.0000  0.5000  0.0000
Ca  0.5000  0.5000  0.5000
S  0.5000  0.2499  0.7501
S  0.0000  0.7489  0.7489
S  0.0000  0.2511  0.2511
S  0.5000  0.7501  0.2499
Pm  0.5000  0.0000  0.0000

- ΔE_f (raw) (eV per atom) = -2.098
- electronic total energy (eV for the cell shown) = -44.05
- space-group type = Cmmm